Entry 1:
Sm2Ni12Ge3Pt: optimized geometry, PBE.

Structure (POSCAR):
```
Sm2Ni12Ge3Pt
1.0
6.148 -1.419 -1.007
1.802 6.047 -1.007
1.802 1.049 6.040
Ni Ge Sm Pt
12 3 2 1
direct
0.294 0.805 0.805 Ni
0.600 0.600 0.122 Ni
0.400 0.400 0.878 Ni
0.195 0.195 0.706 Ni
0.805 0.294 0.805 Ni
0.195 0.706 0.195 Ni
0.706 0.195 0.195 Ni
0.122 0.600 0.600 Ni
0.600 0.122 0.600 Ni
0.400 0.878 0.400 Ni
0.805 0.805 0.294 Ni
0.878 0.400 0.400 Ni
0.500 0.000 0.000 Ge
0.000 0.000 0.500 Ge
0.000 0.500 0.000 Ge
0.314 0.314 0.314 Sm
0.686 0.686 0.686 Sm
0.000 0.000 0.000 Pt
```

Values from the calculation:
The value obtained for the mass density is 9.122 Mg/m³. The spin magnetization comes out at 0.0 μB/f.u. The calculation puts the formation energy at -28 meV per atom. Its crystal system is trigonal.



Entry 2:
Sm2NiGe3Pt4: optimized geometry, PBE.

Structure (POSCAR):
```
Sm2NiGe3Pt4
1.0
4.267 0.000 0.000
0.000 4.267 0.000
0.000 0.000 10.281
Pt Ge Sm Ni
4 3 2 1
direct
0.500 0.500 0.000 Pt
0.500 0.000 0.630 Pt
0.000 0.500 0.370 Pt
0.000 0.000 0.000 Pt
0.000 0.500 0.134 Ge
0.000 0.000 0.500 Ge
0.500 0.000 0.866 Ge
0.000 0.500 0.737 Sm
0.500 0.000 0.263 Sm
0.500 0.500 0.500 Ni
```

Values from the calculation:
The value obtained for the mass density is 12.045 Mg/m³. The spin magnetization comes out at 0.0 μB/f.u. The calculation puts the formation energy at -845 meV per atom. Its crystal system is tetragonal.